(1)
{
  "formula": "Pm4CoGeCl2",
  "functional": "GGA-PBE",
  "state": "optimized geometry",
  "lattice_angstrom": [[-0.6005, 0.6469, 3.9400], [4.2642, -5.7557, 1.5949], [4.4042, 6.0498, -0.3220]],
  "species": ["Ge", "Pm", "Pm", "Pm", "Pm", "Cl", "Cl", "Co"],
  "fractional_positions": [[0.5000, 0.5000, 0.0000], [0.5000, 0.2186, 0.2063], [0.0000, 0.2419, 0.7851], [0.5000, 0.7814, 0.7937], [0.0000, 0.7581, 0.2149], [0.0000, 0.5000, 0.5000], [0.5000, 0.0000, 0.5000], [0.0000, 0.0000, 0.0000]],
  "volume_a3_per_atom": 26.45,
  "spacegroup": "P2/m (10)",
  "dft_energy_ev_per_cell": -42.3,
  "raw_formation_energy_ev_per_atom": -0.991,
  "mass_density_g_cm3": 6.140
}

=====

(2)
{
  "formula": "Pm6Co2GeCl3",
  "functional": "GGA-PBE",
  "state": "optimized geometry",
  "lattice_angstrom": [[-2.4529, 2.7649, 1.6139], [2.4542, -2.4983, 8.0101], [7.0027, 5.3979, -3.6442]],
  "species": ["Ge", "Pm", "Pm", "Pm", "Pm", "Pm", "Pm", "Cl", "Cl", "Cl", "Co", "Co"],
  "fractional_positions": [[0.5000, 0.0000, 0.0000], [0.3352, 0.8698, 0.6704], [0.6648, 0.1302, 0.3296], [0.9794, 0.7514, 0.9588], [0.0206, 0.2486, 0.0412], [0.6773, 0.5651, 0.3545], [0.3227, 0.4349, 0.6455], [0.1618, 0.8433, 0.3236], [0.8382, 0.1567, 0.6764], [0.5000, 0.5000, 0.0000], [0.1712, 0.3472, 0.3424], [0.8288, 0.6528, 0.6576]],
  "volume_a3_per_atom": 26.10,
  "spacegroup": "C2/m (12)",
  "dft_energy_ev_per_cell": -64.3,
  "raw_formation_energy_ev_per_atom": -0.955,
  "mass_density_g_cm3": 6.187
}

=====

(3)
{
  "formula": "Pr6Co2GeCl3",
  "functional": "GGA-PBE",
  "state": "optimized geometry",
  "lattice_angstrom": [[4.1021, 0.0000, 0.0000], [0.0000, 8.8858, -0.0203], [-2.0510, -2.9095, 8.9998]],
  "species": ["Pr", "Pr", "Pr", "Pr", "Pr", "Pr", "Co", "Co", "Ge", "Cl", "Cl", "Cl"],
  "fractional_positions": [[0.9803, 0.7520, 0.9606], [0.6650, 0.1263, 0.3300], [0.3220, 0.4365, 0.6440], [0.3350, 0.8737, 0.6700], [0.0197, 0.2480, 0.0394], [0.6780, 0.5635, 0.3560], [0.8294, 0.6569, 0.6589], [0.1706, 0.3431, 0.3411], [0.5000, 0.0000, 0.0000], [0.8389, 0.1586, 0.6777], [0.1611, 0.8414, 0.3223], [0.5000, 0.5000, 0.0000]],
  "volume_a3_per_atom": 27.32,
  "spacegroup": "C2/m (12)",
  "dft_energy_ev_per_cell": -64.4,
  "raw_formation_energy_ev_per_atom": -0.944,
  "mass_density_g_cm3": 5.787
}

=====

(4)
{
  "formula": "CoTc2GeCl",
  "functional": "GGA-PBE",
  "state": "optimized geometry",
  "lattice_angstrom": [[4.8321, 0.0000, 0.0000], [0.0000, 4.3766, 0.0000], [0.0000, 0.0000, 4.8321]],
  "species": ["Co", "Tc", "Tc", "Cl", "Ge"],
  "fractional_positions": [[0.0000, 0.5000, 0.0000], [0.0000, 0.0000, 0.5000], [0.5000, 0.0000, 0.0000], [0.5000, 0.5000, 0.5000], [0.0000, 0.0000, 0.0000]],
  "volume_a3_per_atom": 20.44,
  "spacegroup": "P4/mmm (123)",
  "dft_energy_ev_per_cell": -27.5,
  "raw_formation_energy_ev_per_atom": 1.368,
  "mass_density_g_cm3": 5.899
}

=====

(5)
{
  "formula": "Y2CoGeCl",
  "functional": "GGA-PBE",
  "state": "optimized geometry",
  "lattice_angstrom": [[-4.1544, -2.2440, 1.9733], [0.9271, -3.9248, -2.5112], [2.8164, -1.8109, 3.8700]],
  "species": ["Ge", "Y", "Y", "Co", "Cl"],
  "fractional_positions": [[0.0000, 0.5000, 0.0000], [0.5000, 0.0000, 0.0000], [0.0000, 0.0000, 0.5000], [0.5000, 0.5000, 0.5000], [0.0000, 0.0000, 0.0000]],
  "volume_a3_per_atom": 24.88,
  "spacegroup": "P4/mmm (123)",
  "dft_energy_ev_per_cell": -25.2,
  "raw_formation_energy_ev_per_atom": 0.252,
  "mass_density_g_cm3": 4.602
}

=====

(6)
{
  "formula": "CoHCl2",
  "functional": "GGA-PBE",
  "state": "optimized geometry",
  "lattice_angstrom": [[2.1461, 0.0000, 5.6213], [-1.0731, 1.8586, 5.6213], [-1.0731, -1.8586, 5.6213]],
  "species": ["Co", "H", "Cl", "Cl"],
  "fractional_positions": [[0.5000, 0.5000, 0.5000], [0.0000, 0.0000, 0.0000], [0.9067, 0.9067, 0.9067], [0.0933, 0.0933, 0.0933]],
  "volume_a3_per_atom": 16.82,
  "spacegroup": "R-3m (166)",
  "dft_energy_ev_per_cell": -14.7,
  "polymorph_energy_mev_per_atom": 0,
  "mass_density_g_cm3": 3.230
}

=====

(7)
{
  "formula": "CoH2Cl5",
  "functional": "GGA-PBE",
  "state": "optimized geometry",
  "lattice_angstrom": [[6.6239, -0.7604, 2.5116], [1.9839, 5.1096, 2.0907], [-0.7432, 1.9770, 7.3688]],
  "species": ["Cl", "Cl", "Cl", "Cl", "Cl", "Co", "H", "H"],
  "fractional_positions": [[0.3681, 0.8526, 0.5887], [0.1554, 0.7060, 0.1841], [0.7556, 0.2309, 0.3973], [0.6465, 0.9830, 0.0209], [0.9776, 0.4383, 0.7932], [0.9264, 0.0461, 0.0017], [0.6897, 0.5004, 0.2751], [0.4807, 0.0197, 0.5160]],
  "volume_a3_per_atom": 31.71,
  "spacegroup": "P1 (1)",
  "dft_energy_ev_per_cell": -26.6,
  "mass_density_g_cm3": 1.559
}

=====

(8)
{
  "formula": "Co2HCl6",
  "functional": "GGA-PBE",
  "state": "optimized geometry",
  "lattice_angstrom": [[5.9931, -0.7302, -0.5595], [-0.8649, 9.5920, 0.2174], [-1.1807, -0.7766, 9.6814]],
  "species": ["Cl", "Cl", "Cl", "Cl", "Cl", "Cl", "Cl", "Cl", "Cl", "Cl", "Cl", "Cl", "Co", "Co", "Co", "Co", "H", "H"],
  "fractional_positions": [[0.1757, 0.7630, 0.6318], [0.3461, 0.7192, 0.0038], [0.3304, 0.3821, 0.2419], [0.8514, 0.9987, 0.7495], [0.1106, 0.4010, 0.7552], [0.8894, 0.5990, 0.2448], [0.8243, 0.2370, 0.3682], [0.6280, 0.7671, 0.4187], [0.1486, 0.0013, 0.2505], [0.6696, 0.6179, 0.7581], [0.6539, 0.2808, 0.9962], [0.3720, 0.2329, 0.5813], [0.1806, 0.2018, 0.3590], [0.8194, 0.7982, 0.6410], [0.6808, 0.3676, 0.2031], [0.3192, 0.6324, 0.7969], [0.2339, 0.3272, 0.6722], [0.7661, 0.6728, 0.3278]],
  "volume_a3_per_atom": 30.27,
  "spacegroup": "P-1 (2)",
  "dft_energy_ev_per_cell": -66.3,
  "mass_density_g_cm3": 2.021
}

=====

(9)
{
  "formula": "CoH2Cl2",
  "functional": "GGA-PBE",
  "state": "optimized geometry",
  "lattice_angstrom": [[3.5114, 0.0000, 0.0000], [-1.7557, 3.0328, -0.1057], [0.0000, -0.1574, 8.6665]],
  "species": ["Co", "Cl", "Cl", "H", "H"],
  "fractional_positions": [[0.0000, 0.0000, 0.0000], [0.3217, 0.6434, 0.8452], [0.6783, 0.3566, 0.1548], [0.9496, 0.8991, 0.4729], [0.0504, 0.1009, 0.5271]],
  "volume_a3_per_atom": 18.45,
  "spacegroup": "C2/m (12)",
  "dft_energy_ev_per_cell": -19.2,
  "mass_density_g_cm3": 2.374
}

=====

(10)
{
  "formula": "Co2HCl",
  "functional": "GGA-PBE",
  "state": "optimized geometry",
  "lattice_angstrom": [[-2.6438, -1.8787, -2.1537], [-3.7553, 1.0045, 0.2146], [-1.7068, 1.8047, -2.9979]],
  "species": ["H", "Cl", "Co", "Co"],
  "fractional_positions": [[0.0000, 0.0000, 0.0000], [0.5000, 0.5000, 0.5000], [0.2500, 0.2500, 0.2500], [0.7500, 0.7500, 0.7500]],
  "volume_a3_per_atom": 10.43,
  "spacegroup": "Fm-3m (225)",
  "dft_energy_ev_per_cell": -16.1,
  "polymorph_energy_mev_per_atom": 595,
  "mass_density_g_cm3": 6.141
}

=====

(11)
{
  "formula": "Co2HCl",
  "functional": "GGA-PBE",
  "state": "optimized geometry",
  "lattice_angstrom": [[4.5390, 0.0000, 0.0000], [0.0000, 4.5390, 0.0000], [2.2695, 2.2695, 4.6168]],
  "species": ["H", "H", "Cl", "Cl", "Co", "Co", "Co", "Co"],
  "fractional_positions": [[0.5000, 0.5000, 0.0000], [0.2500, 0.7500, 0.5000], [0.7500, 0.2500, 0.5000], [0.0000, 0.0000, 0.0000], [0.5025, 0.1250, 0.2500], [0.8750, 0.7525, 0.7500], [0.2475, 0.6250, 0.2500], [0.3750, 0.4975, 0.7500]],
  "volume_a3_per_atom": 11.89,
  "spacegroup": "I-42d (122)",
  "dft_energy_ev_per_cell": -37.0,
  "polymorph_energy_mev_per_atom": 0,
  "mass_density_g_cm3": 5.388
}

=====

(12)
{
  "formula": "CoHCl2",
  "functional": "GGA-PBE",
  "state": "optimized geometry",
  "lattice_angstrom": [[5.0358, 0.0000, 0.0000], [0.0000, 5.0358, 0.0000], [2.5179, 2.5179, 4.8058]],
  "species": ["Cl", "Cl", "Cl", "Cl", "Co", "Co", "H", "H"],
  "fractional_positions": [[0.5896, 0.1250, 0.2500], [0.8750, 0.8396, 0.7500], [0.1604, 0.6250, 0.2500], [0.3750, 0.4104, 0.7500], [0.7500, 0.2500, 0.5000], [0.0000, 0.0000, 0.0000], [0.5000, 0.5000, 0.0000], [0.2500, 0.7500, 0.5000]],
  "volume_a3_per_atom": 15.23,
  "spacegroup": "I-42d (122)",
  "dft_energy_ev_per_cell": -27.4,
  "polymorph_energy_mev_per_atom": 240,
  "mass_density_g_cm3": 3.566
}

=====

(13)
{
  "formula": "CoHCl2",
  "functional": "GGA-PBE",
  "state": "optimized geometry",
  "lattice_angstrom": [[-3.7656, 1.8377, 1.2427], [-1.9778, 2.9028, -2.6005], [-3.7236, -1.0625, -2.0266]],
  "species": ["Co", "Cl", "Cl", "H"],
  "fractional_positions": [[0.5000, 0.5000, 0.5000], [0.7500, 0.7500, 0.7500], [0.2500, 0.2500, 0.2500], [0.0000, 0.0000, 0.0000]],
  "volume_a3_per_atom": 14.76,
  "spacegroup": "Fm-3m (225)",
  "dft_energy_ev_per_cell": -12.2,
  "polymorph_energy_mev_per_atom": 629,
  "mass_density_g_cm3": 3.681
}

=====

(14)
{
  "formula": "CoHCl4",
  "functional": "GGA-PBE",
  "state": "optimized geometry",
  "lattice_angstrom": [[-4.7695, -0.1184, 3.4193], [2.4518, -2.4236, 4.4708], [3.1902, 6.3102, 5.2358]],
  "species": ["Cl", "Cl", "Cl", "Cl", "Cl", "Cl", "Cl", "Cl", "Co", "Co", "H", "H"],
  "fractional_positions": [[0.6308, 0.9096, 0.2052], [0.5959, 0.7378, 0.5914], [0.8692, 0.3852, 0.2052], [0.3692, 0.0904, 0.7948], [0.1308, 0.6148, 0.7948], [0.0959, 0.8292, 0.4086], [0.9041, 0.1708, 0.5914], [0.4041, 0.2622, 0.4086], [0.7500, 0.0490, 0.4020], [0.2500, 0.9510, 0.5980], [0.7500, 0.6381, 0.2238], [0.2500, 0.3619, 0.7762]],
  "volume_a3_per_atom": 22.85,
  "spacegroup": "C2/c (15)",
  "dft_energy_ev_per_cell": -41.8,
  "mass_density_g_cm3": 2.443
}

=====

(15)
{
  "formula": "HfCoH2Cl",
  "functional": "GGA-PBE",
  "state": "optimized geometry",
  "lattice_angstrom": [[3.6384, 0.0000, 0.0000], [0.0000, 4.6756, 0.0000], [0.0000, 0.0000, 3.6384]],
  "species": ["Cl", "H", "H", "Hf", "Co"],
  "fractional_positions": [[0.0000, 0.0000, 0.0000], [0.0000, 0.0000, 0.5000], [0.5000, 0.0000, 0.0000], [0.5000, 0.5000, 0.5000], [0.0000, 0.5000, 0.0000]],
  "volume_a3_per_atom": 12.38,
  "spacegroup": "P4/mmm (123)",
  "dft_energy_ev_per_cell": -21.2,
  "mass_density_g_cm3": 7.375
}

=====

(16)
{
  "formula": "La8Co3HCl4",
  "functional": "GGA-PBE",
  "state": "optimized geometry",
  "lattice_angstrom": [[7.8284, 0.0000, 0.0000], [0.0000, 8.8308, 0.5138], [-3.9142, -4.0212, 5.8741]],
  "species": ["Cl", "Cl", "Cl", "Cl", "La", "La", "La", "La", "La", "La", "La", "La", "H", "Co", "Co", "Co"],
  "fractional_positions": [[0.0000, 0.0000, 0.5000], [0.5000, 0.0000, 0.5000], [0.0000, 0.0000, 0.0000], [0.5000, 0.0000, 0.0000], [0.7370, 0.7008, 0.9758], [0.2388, 0.7008, 0.9758], [0.7582, 0.2978, 0.5164], [0.2630, 0.2992, 0.0242], [0.2628, 0.3006, 0.5255], [0.2418, 0.7022, 0.4836], [0.7612, 0.2992, 0.0242], [0.7372, 0.6994, 0.4745], [0.0000, 0.5000, 0.0000], [0.5000, 0.5000, 0.5000], [0.0000, 0.5000, 0.5000], [0.5000, 0.5000, 0.0000]],
  "volume_a3_per_atom": 26.39,
  "spacegroup": "C2/m (12)",
  "dft_energy_ev_per_cell": -86.4,
  "mass_density_g_cm3": 5.627
}

=====

(17)
{
  "formula": "La6Co2HCl3",
  "functional": "GGA-PBE",
  "state": "optimized geometry",
  "lattice_angstrom": [[-6.5824, -0.3358, 1.9105], [3.5547, -5.8698, 0.0134], [3.0759, 3.4152, 6.4731]],
  "species": ["La", "La", "La", "La", "La", "La", "Cl", "Cl", "Cl", "H", "Co", "Co"],
  "fractional_positions": [[0.7168, 0.7168, 0.2069], [0.9444, 0.6023, 0.8016], [0.2832, 0.2832, 0.7931], [0.3977, 0.0556, 0.1984], [0.6023, 0.9444, 0.8016], [0.0556, 0.3977, 0.1984], [0.8282, 0.1718, 0.5000], [0.1718, 0.8282, 0.5000], [0.5000, 0.5000, 0.5000], [0.0000, 0.0000, 0.0000], [0.6650, 0.3350, 0.0000], [0.3350, 0.6650, 0.0000]],
  "volume_a3_per_atom": 26.32,
  "spacegroup": "C2/m (12)",
  "dft_energy_ev_per_cell": -64.0,
  "mass_density_g_cm3": 5.567
}

=====

(18)
{
  "formula": "La4CoHCl2",
  "functional": "GGA-PBE",
  "state": "optimized geometry",
  "lattice_angstrom": [[-1.5152, 3.2293, 1.6635], [-5.8699, -3.2275, 0.9187], [4.3437, -1.2537, 6.3902]],
  "species": ["H", "Cl", "Cl", "La", "La", "La", "La", "Co"],
  "fractional_positions": [[0.5000, 0.5000, 0.0000], [0.5000, 0.0000, 0.5000], [0.0000, 0.5000, 0.5000], [0.0000, 0.7338, 0.2102], [0.5000, 0.7615, 0.7937], [0.5000, 0.2385, 0.2063], [0.0000, 0.2662, 0.7898], [0.0000, 0.0000, 0.0000]],
  "volume_a3_per_atom": 24.89,
  "spacegroup": "P2/m (10)",
  "dft_energy_ev_per_cell": -41.3,
  "mass_density_g_cm3": 5.726
}